No. 1
! BeTeAsSe2, relaxed, DFT GGA-PBEsol; values from VASP
&SYSTEM
  ibrav = 0, nat = 5, ntyp = 4
/
ATOMIC_SPECIES
Be 9.01 Be.upf
As 74.92 As.upf
Te 127.60 Te.upf
Se 78.96 Se.upf
ATOMIC_POSITIONS angstrom
Be 1.8775 -3.5872 2.0292
As 0.2610 -0.3399 2.6131
Te 0.0000 0.0000 0.0000
Se 2.4480 -0.7973 -0.3482
Se -0.8315 -2.4500 -0.2357
CELL_PARAMETERS angstrom
-1.6629 -4.9000 -0.4714
4.8959 -1.5946 -0.6964
0.5219 -0.6799 5.2261
! * V: 142.98 Å³ per cell
! * uncorrected formation energy: 1.201 eV per atom

=====

No. 2
! SrTcAg2Pt, relaxed, DFT GGA-PBEsol; values from VASP
&SYSTEM
  ibrav = 0, nat = 5, ntyp = 4
/
ATOMIC_SPECIES
Sr 87.62 Sr.upf
Ag 107.87 Ag.upf
Pt 195.08 Pt.upf
Tc 98.00 Tc.upf
ATOMIC_POSITIONS angstrom
Sr 2.3675 2.5148 2.5148
Ag 0.0000 0.0000 2.5148
Ag 0.0000 2.5148 0.0000
Pt 2.3675 0.0000 0.0000
Tc 0.0000 0.0000 0.0000
CELL_PARAMETERS angstrom
4.7350 0.0000 0.0000
0.0000 5.0296 0.0000
0.0000 0.0000 5.0296
! * VASP energy: -0.1762 Ha/atom
! * V: 119.78 Å³ per cell

=====

No. 3
! LaCrRh, relaxed, DFT GGA-PBEsol; values from VASP
&SYSTEM
  ibrav = 0, nat = 3, ntyp = 3
/
ATOMIC_SPECIES
Cr 52.00 Cr.upf
La 138.91 La.upf
Rh 102.91 Rh.upf
ATOMIC_POSITIONS angstrom
Cr 0.0000 0.0000 0.0000
La -0.9211 -0.2805 5.5256
Rh -0.4606 -0.1403 2.7628
CELL_PARAMETERS angstrom
-2.1940 1.9273 3.5277
-1.6212 -2.6143 3.3926
1.9730 0.1260 4.1309
! * VASP energy: -0.2809 Ha/atom
! * V: 67.91 Å³ per cell

=====

No. 4
! TiH8C4NO10, relaxed, DFT GGA-PBEsol; values from VASP
&SYSTEM
  ibrav = 0, nat = 72, ntyp = 5
/
ATOMIC_SPECIES
Ti 47.87 Ti.upf
H 1.01 H.upf
C 12.01 C.upf
N 14.01 N.upf
O 16.00 O.upf
ATOMIC_POSITIONS angstrom
Ti 1.3419 -7.3667 6.5941
Ti 2.0490 -6.5635 1.0133
Ti 3.6423 -2.1489 -2.1903
H 3.6592 -3.6539 3.1109
H 0.0191 -4.0714 2.3514
H -1.1109 -7.2245 -3.4529
H 4.8077 -5.2368 -3.2988
H 0.8620 -9.7191 1.8823
H -1.9272 -9.5509 6.5642
H -5.0776 -5.8661 3.0805
H 1.1004 -10.1386 -0.3201
H 0.6336 -1.3010 0.1945
H 2.2912 -7.2576 -2.3899
H 1.4578 -9.2630 -1.7836
H -1.7837 -5.1959 -2.7349
H 5.0236 -5.2059 2.2091
H -0.9840 -9.0080 4.5895
H 0.1803 -2.1971 -1.8242
H 3.7708 -11.7629 1.6218
H 5.9235 -3.9903 -4.8103
H 1.9786 -3.1986 3.0458
H 5.2113 -10.6631 2.9631
H 7.2079 -6.2572 -0.1074
H 4.9025 -5.9657 5.6896
H 4.5881 -8.1980 5.6490
H -2.8357 -5.7521 2.8696
H 9.2772 -6.8468 -0.7813
C -0.5837 -7.1274 -0.0326
C 4.9112 -7.3764 0.6615
C 2.7248 -4.0315 -0.2013
C -4.4157 -4.3394 0.0445
C 3.0668 -4.9503 -1.2973
C -3.2203 -4.0928 -0.7757
C 2.6432 -2.8835 -4.7989
C 1.4478 -3.1300 -3.9787
C -0.9256 -6.2086 1.0635
C 4.0578 -8.5418 0.3857
C 1.1436 -7.7187 3.6253
C 1.9970 -6.5533 3.9011
N 4.8921 -4.9201 5.6508
N 2.9352 -2.9521 3.3905
N 0.9784 -0.9840 1.1302
O -2.1717 -6.0411 1.2684
O -2.6149 -5.1352 -1.1877
O 8.4409 -9.0997 0.7523
O 0.2103 -3.1716 2.7244
O 2.7793 -6.1747 -1.0948
O 0.6027 -8.2547 4.6464
O 2.5406 -5.9897 2.9002
O 4.3014 -6.3372 1.0747
O 5.2242 -4.5092 2.8871
O 2.1201 -6.2065 5.1175
O 2.9343 -8.7712 5.8069
O 2.1938 -4.5440 0.8333
O 3.6498 -2.3788 -4.2100
O 2.8092 -8.3964 0.5722
O -1.5526 -7.6486 -0.6686
O 0.0659 -5.6924 1.6742
O -0.4360 -1.7767 -1.1695
O 1.5465 -2.7958 -2.7535
O -3.3970 -5.6576 3.6828
O 7.9310 -5.6928 -0.4869
O 0.8226 -9.2224 7.2408
O 0.6524 -7.3240 -0.2528
O -4.7173 -5.5531 0.2699
O 6.1561 -7.5484 0.4536
O 6.3301 -9.5519 2.1873
O -1.3365 -5.4462 -3.5850
O 4.6397 -9.5976 -0.0163
O 1.0494 -8.0498 2.3989
O 3.6088 -4.4098 -2.3155
O 2.9887 -2.8013 -0.3796
CELL_PARAMETERS angstrom
-7.1003 -4.8931 1.8866
5.3278 -2.3298 -6.6410
5.8705 -5.9041 6.7809
! * VASP energy: -0.2494 Ha/atom
! * V: 724.57 Å³ per cell

=====

No. 5
! Sc2PtAu, relaxed, DFT GGA-PBEsol; values from VASP
&SYSTEM
  ibrav = 0, nat = 4, ntyp = 3
/
ATOMIC_SPECIES
Sc 44.96 Sc.upf
Au 196.97 Au.upf
Pt 195.08 Pt.upf
ATOMIC_POSITIONS angstrom
Sc 4.5219 2.6107 2.4978
Sc 1.5073 0.8702 7.1300
Au 3.0146 1.7405 4.8139
Pt 0.0000 0.0000 0.0000
CELL_PARAMETERS angstrom
3.0146 0.0000 0.0000
1.5073 2.6107 0.0000
1.5073 0.8702 9.6277
! * VASP energy: -0.2278 Ha/atom
! * V: 75.77 Å³ per cell

=====

No. 6
! BaLi2P, relaxed, DFT GGA-PBEsol; values from VASP
&SYSTEM
  ibrav = 0, nat = 4, ntyp = 3
/
ATOMIC_SPECIES
P 30.97 P.upf
Ba 137.33 Ba.upf
Li 6.94 Li.upf
ATOMIC_POSITIONS angstrom
P -3.0304 -3.1901 -2.9404
Ba -5.6786 -3.9778 -5.0161
Li -3.3215 -5.6573 -3.7565
Li -2.0712 -1.1989 -1.7673
CELL_PARAMETERS angstrom
-0.0702 -2.6593 -3.4146
-2.5276 -3.5136 0.0448
-5.1354 0.9846 -3.4047
! * VASP energy: -0.1324 Ha/atom
! * V: 92.77 Å³ per cell

=====

No. 7
! KTl2CuAu, relaxed, DFT GGA-PBEsol; values from VASP
&SYSTEM
  ibrav = 0, nat = 5, ntyp = 4
/
ATOMIC_SPECIES
Tl 204.38 Tl.upf
Au 196.97 Au.upf
K 39.10 K.upf
Cu 63.55 Cu.upf
ATOMIC_POSITIONS angstrom
Tl 0.0000 0.0000 2.9685
Tl 0.0000 2.9685 0.0000
Au 2.4828 2.9685 2.9685
K 0.0000 0.0000 0.0000
Cu 2.4828 0.0000 0.0000
CELL_PARAMETERS angstrom
4.9656 0.0000 0.0000
0.0000 5.9370 0.0000
0.0000 0.0000 5.9370
! * VASP energy: -0.0630 Ha/atom
! * V: 175.03 Å³ per cell

=====

No. 8
! LiZrB2Au, relaxed, DFT GGA-PBEsol; values from VASP
&SYSTEM
  ibrav = 0, nat = 5, ntyp = 4
/
ATOMIC_SPECIES
B 10.81 B.upf
Au 196.97 Au.upf
Zr 91.22 Zr.upf
Li 6.94 Li.upf
ATOMIC_POSITIONS angstrom
B -1.7847 -1.3184 0.1268
B -1.1720 1.6711 0.8793
Au 0.7287 -0.7551 2.4065
Zr 0.0000 0.0000 0.0000
Li -2.2280 -0.4024 3.4125
CELL_PARAMETERS angstrom
-2.3440 3.3423 1.7586
-3.5695 -2.6368 0.2535
1.4575 -1.5102 4.8129
! * VASP energy: -0.1676 Ha/atom
! * V: 103.74 Å³ per cell

=====

No. 9
! Li2TaC2, relaxed, DFT GGA-PBEsol; values from VASP
&SYSTEM
  ibrav = 0, nat = 5, ntyp = 3
/
ATOMIC_SPECIES
C 12.01 C.upf
Li 6.94 Li.upf
Ta 180.95 Ta.upf
ATOMIC_POSITIONS angstrom
C 1.1588 -0.6250 2.0911
C -0.5420 1.2242 2.0770
Li 1.3332 1.2388 1.6480
Li -0.7163 -0.6396 2.5200
Ta 0.0000 0.0000 0.0000
CELL_PARAMETERS angstrom
-2.9492 0.7153 1.8482
0.4524 -2.9832 1.8764
3.1137 2.8671 0.4434
! * offset from the most stable computed form: 0 meV per atom
! * V: 43.37 Å³ per cell

=====

No. 10
! ErTe2, relaxed, DFT GGA-PBEsol; values from VASP
&SYSTEM
  ibrav = 0, nat = 6, ntyp = 2
/
ATOMIC_SPECIES
Te 127.60 Te.upf
Er 167.26 Er.upf
ATOMIC_POSITIONS angstrom
Te 0.0000 0.0000 0.0000
Te 2.1803 2.1803 0.0000
Te 2.1803 0.0000 5.4415
Te 0.0000 2.1803 3.2181
Er 2.1803 0.0000 2.3351
Er 0.0000 2.1803 6.3245
CELL_PARAMETERS angstrom
4.3607 0.0000 0.0000
0.0000 4.3607 0.0000
0.0000 0.0000 8.6596
! * V: 164.67 Å³ per cell
! * uncorrected formation energy: -1.144 eV per atom

=====

No. 11
! SrLaMn2, relaxed, DFT GGA-PBEsol; values from VASP
&SYSTEM
  ibrav = 0, nat = 4, ntyp = 3
/
ATOMIC_SPECIES
La 138.91 La.upf
Mn 54.94 Mn.upf
Sr 87.62 Sr.upf
ATOMIC_POSITIONS angstrom
La 1.7528 -4.0887 -0.5197
Mn 0.5902 -3.8913 -3.4207
Mn -0.2211 -2.4520 1.5846
Sr 2.7107 -3.5459 2.7810
CELL_PARAMETERS angstrom
-2.8944 -1.3763 1.0663
0.3846 -3.7580 -3.8068
4.1063 -1.2592 4.1714
! * offset from the most stable computed form: 150 meV per atom
! * V: 98.91 Å³ per cell

=====

No. 12
! CoTc, relaxed, DFT GGA-PBEsol; values from VASP
&SYSTEM
  ibrav = 0, nat = 4, ntyp = 2
/
ATOMIC_SPECIES
Co 58.93 Co.upf
Tc 98.00 Tc.upf
ATOMIC_POSITIONS angstrom
Co 0.0000 1.0263 1.5372
Co 0.0000 3.0788 2.9548
Tc 1.2806 3.0788 0.7806
Tc 1.2806 1.0263 3.7114
CELL_PARAMETERS angstrom
2.5612 0.0000 0.0000
0.0000 4.1051 0.0000
0.0000 0.0000 4.4921
! * offset from the most stable computed form: 0 meV per atom
! * V: 47.23 Å³ per cell